Density functional theory data (PBE) for a relaxed ZrMo6S8 crystal.

M_tot (μB/f.u.): 0.0
E_form (uncorrected) (eV per formula unit): -11.70
Calculated density (g/cm³): 5.8
DFT total energy (eV/atom): -7.884

Cell: 6.414 6.414 6.414 Å, 89.82 89.82 89.82°
Fractional coordinates of all 15 atoms:
1 Zr 0.000 0.000 0.000
2 Mo 0.219 0.421 0.558
3 Mo 0.421 0.558 0.219
4 Mo 0.442 0.781 0.579
5 Mo 0.558 0.219 0.421
6 Mo 0.579 0.442 0.781
7 Mo 0.781 0.579 0.442
8 S 0.130 0.759 0.359
9 S 0.232 0.232 0.232
10 S 0.241 0.641 0.870
11 S 0.359 0.130 0.759
12 S 0.641 0.870 0.241
13 S 0.759 0.359 0.130
14 S 0.768 0.768 0.768
15 S 0.870 0.241 0.641